The following is a GGA+U calculation of crystalline KNaFeF4 at its relaxed geometry, from Alexandria via LeMat-Bulk.

a b c (Å): 6.4894 5.5881 6.7694
angles (deg): 90.00 118.20 90.00
Space group P2_1/m (No. 11)
Inequivalent atoms, fractional coordinates:
K 0.1267 0.2500 0.1334 [2 per cell]
Na 0.1652 0.7500 0.5494 [2 per cell]
Fe 0.4888 0.2500 0.8448 [2 per cell]
F 0.2118 0.2500 0.5327 [2 per cell]
F 0.2716 0.5128 0.8945 [4 per cell]
F 0.2733 0.7500 0.2747 [2 per cell]

**Magnetic moment**: 8.0 μB per cell
**D(E_F)**: 0.00 states/eV/cell
**Raw total energy**: -4.779 eV/atom